The following is a DFT calculation (PBE) of an optimized crystal structure of Cd2AgSb2.

extended XYZ file:
```
10
Lattice="7.825 0.000 0.000 0.000 7.825 0.000 0.000 0.000 4.310" Properties=species:S:1:pos:R:3 pbc="T T T"
Cd 1.050 2.863 0.000
Cd 2.863 6.775 0.000
Cd 4.962 1.050 0.000
Cd 6.775 4.962 0.000
Ag 0.000 0.000 2.155
Ag 3.912 3.912 2.155
Sb 1.395 5.308 2.155
Sb 2.517 1.395 2.155
Sb 5.308 6.430 2.155
Sb 6.430 2.517 2.155
```

Calculated values
The calculation puts the uncorrected formation energy at 0.8 eV/f.u. Its energy above the most stable polymorph in this dataset is 0.0 meV per atom. For the calculated total energy, the calculation gives -2.43 eV/atom. For the density, the calculation gives 7.3 g/cm³.

The following is a DFT calculation (PBE) of an optimized crystal structure of SrRe2Sb.

extended XYZ file:
```
4
Lattice="1.590 0.918 9.327 -1.590 0.918 9.327 0.000 -1.836 9.327" Properties=species:S:1:pos:R:3 pbc="T T T"
Sr 0.000 0.000 0.000
Re 0.000 0.000 6.671
Re 0.000 0.000 21.309
Sb 0.000 0.000 13.990
```

Calculated values
The calculation puts the uncorrected formation energy at 4.3 eV/f.u. For the calculated total energy, the calculation gives -6.59 eV/atom. For the density, the calculation gives 11.8 g/cm³.

Please write out number 2 again, unchanged.
The following is a DFT calculation (PBE) of an optimized crystal structure of SrRe2Sb.

extended XYZ file:
```
4
Lattice="1.590 0.918 9.327 -1.590 0.918 9.327 0.000 -1.836 9.327" Properties=species:S:1:pos:R:3 pbc="T T T"
Sr 0.000 0.000 0.000
Re 0.000 0.000 6.671
Re 0.000 0.000 21.309
Sb 0.000 0.000 13.990
```

Calculated values
The calculation puts the uncorrected formation energy at 4.3 eV/f.u. For the calculated total energy, the calculation gives -6.59 eV/atom. For the density, the calculation gives 11.8 g/cm³.

Question: Number 2 is which compound?
Answer: SrRe2Sb

Question: Among the records above, which one has the highest calculated total energy?
Answer: Cd2AgSb2